Entry 1:
A geometry-optimized MnZn3Au structure. Source: the Alexandria database, functional PBE-GGA.

a b c (Å): 4.857 4.857 4.857
angles (deg): 90.00 90.00 90.00
Sites, in units of the cell vectors:
Mn  0.000  0.000  0.000
Zn  0.000  0.500  0.500
Zn  0.500  0.000  0.500
Zn  0.500  0.500  0.000
Au  0.500  0.500  0.500

Properties
Energy relative to the elements, eV per formula unit: 2.69
Symmetry: Pm-3m
Relative energy among the computed polymorphs, meV per atom: 582

---

Entry 2:
A geometry-optimized MnZnAu structure. Source: the Alexandria database, functional PBE-GGA.

a b c (Å): 8.977 2.870 7.466
angles (deg): 90.00 90.00 90.00
Sites, in units of the cell vectors:
Mn  0.131  0.250  0.250
Mn  0.369  0.750  0.750
Mn  0.631  0.250  0.250
Mn  0.869  0.750  0.750
Zn  0.120  0.750  0.557
Zn  0.380  0.250  0.057
Zn  0.620  0.750  0.943
Zn  0.880  0.250  0.443
Au  0.118  0.250  0.878
Au  0.382  0.750  0.378
Au  0.618  0.250  0.622
Au  0.882  0.750  0.122

Properties
Energy relative to the elements, eV per formula unit: 0.12
Symmetry: Pnma

---

Entry 3:
A geometry-optimized MnZnAu5 structure. Source: the Alexandria database, functional PBE-GGA.

a b c (Å): 4.184 4.184 7.247
angles (deg): 90.00 90.00 90.00
Sites, in units of the cell vectors:
Mn  0.000  0.000  0.000
Zn  0.500  0.500  0.500
Au  0.000  0.500  0.277
Au  0.000  0.500  0.723
Au  0.500  0.000  0.277
Au  0.500  0.000  0.723
Au  0.500  0.500  0.000

Properties
Energy relative to the elements, eV per formula unit: -0.38
Symmetry: P4/mmm
Relative energy among the computed polymorphs, meV per atom: 0

---

Entry 4:
A geometry-optimized MnZn2Au6 structure. Source: the Alexandria database, functional PBE-GGA.

a b c (Å): 5.698 5.698 7.562
angles (deg): 121.86 121.86 51.22
Sites, in units of the cell vectors:
Mn  0.000  0.000  0.000
Zn  0.229  0.229  0.886
Zn  0.771  0.771  0.114
Au  0.100  0.100  0.431
Au  0.320  0.320  0.305
Au  0.443  0.443  0.781
Au  0.557  0.557  0.219
Au  0.680  0.680  0.695
Au  0.900  0.900  0.569

Properties
Energy relative to the elements, eV per formula unit: -0.78
Symmetry: C2/m
Relative energy among the computed polymorphs, meV per atom: 20

---

Entry 5:
A geometry-optimized ZrMnZnAu structure. Source: the Alexandria database, functional PBE-GGA.

a b c (Å): 4.639 4.639 4.639
angles (deg): 60.00 60.00 60.00
Sites, in units of the cell vectors:
Zr  0.000  0.000  0.000
Mn  0.500  0.500  0.500
Zn  0.750  0.750  0.750
Au  0.250  0.250  0.250

Properties
Energy relative to the elements, eV per formula unit: -0.73
Symmetry: F-43m

---

Entry 6:
A geometry-optimized ZrMnAu2 structure. Source: the Alexandria database, functional PBE-GGA.

a b c (Å): 5.124 5.124 5.124
angles (deg): 132.59 132.59 69.29
Sites, in units of the cell vectors:
Zr  0.000  0.000  0.000
Mn  0.250  0.750  0.500
Au  0.500  0.500  0.000
Au  0.750  0.250  0.500

Properties
Energy relative to the elements, eV per formula unit: -0.90
Symmetry: I-4m2